## CuH2Au (GGA-PBE)

Data for crystalline CuH2Au at its relaxed geometry.

Cell and atoms, written as POSCAR:
```
CuH2Au
1.0
-2.138 2.138 4.327
2.138 -2.138 4.327
2.138 2.138 -4.327
Cu H Au
2 4 2
Direct
0.000 0.000 0.000
0.750 0.250 0.500
0.089 0.625 0.964
0.375 0.339 0.464
0.661 0.125 0.036
0.875 0.911 0.536
0.250 0.750 0.500
0.500 0.500 0.000
```

**Theoretical density**: 11.02 g cm⁻³
**Electronic total energy**: -3.263 eV per atom
**D(E_F)**: 0.0 states/eV/cell